Entry 1:
Material: BaMo2H2
Method: DFT, PBE
State: relaxed

POSCAR file:
```
BaMo2H2
1.0
7.799 0.000 0.000
0.000 7.799 0.000
0.000 0.000 2.966
Ba Mo H
2 4 4
direct
0.000 0.000 0.000
0.500 0.500 0.000
0.100 0.400 0.000
0.400 0.900 0.000
0.600 0.100 0.000
0.900 0.600 0.000
0.095 0.595 0.500
0.405 0.095 0.500
0.595 0.905 0.500
0.905 0.405 0.500
```

Output
The calculation puts the energy above the most stable polymorph in this dataset at 0.49 eV/f.u. The uncorrected energy is -50.895 eV/cell.

=====

Entry 2:
Material: BaMoH2
Method: DFT, PBE
State: relaxed

POSCAR file:
```
BaMoH2
1.0
-2.823 2.823 3.849
2.823 -2.823 3.849
2.823 2.823 -3.849
Ba Mo H
2 2 4
direct
0.000 0.000 0.000
0.750 0.250 0.500
0.250 0.750 0.500
0.500 0.500 0.000
0.239 0.625 0.114
0.375 0.489 0.614
0.511 0.125 0.886
0.875 0.761 0.386
```

Output
The calculation puts the energy above the most stable polymorph in this dataset at 0.00 eV/f.u. The uncorrected energy is -36.196 eV/cell.

=====

Entry 3:
Material: BaMo2H7
Method: DFT, PBE
State: relaxed

POSCAR file:
```
BaMo2H7
1.0
2.622 -5.160 0.000
2.622 5.160 0.000
0.000 0.000 3.686
Ba Mo H
1 2 7
direct
0.000 0.000 0.000
0.314 0.686 0.500
0.686 0.314 0.500
0.015 0.318 0.500
0.318 0.015 0.500
0.364 0.636 0.000
0.500 0.500 0.500
0.636 0.364 0.000
0.682 0.985 0.500
0.985 0.682 0.500
```

Output
The uncorrected energy is -46.887 eV/cell.

=====

Entry 4:
Material: BaMo2H2
Method: DFT, PBE
State: relaxed

POSCAR file:
```
BaMo2H2
1.0
-2.185 2.185 4.098
2.185 -2.185 4.098
2.185 2.185 -4.098
Ba Mo H
1 2 2
direct
0.000 0.000 0.000
0.364 0.364 0.000
0.636 0.636 0.000
0.250 0.750 0.500
0.750 0.250 0.500
```

Output
The calculation puts the energy above the most stable polymorph in this dataset at 0.00 eV/f.u. The uncorrected energy is -25.938 eV/cell.

=====

Entry 5:
Material: BaMo2H
Method: DFT, PBE
State: relaxed

POSCAR file:
```
BaMo2H
1.0
0.000 3.256 3.256
3.256 0.000 3.256
3.256 3.256 0.000
Ba Mo H
1 2 1
direct
0.000 0.000 0.000
0.250 0.250 0.250
0.750 0.750 0.750
0.500 0.500 0.500
```

Output
The calculation puts the energy above the most stable polymorph in this dataset at 5.73 eV/f.u. The uncorrected energy is -18.371 eV/cell.

=====

Entry 6:
Material: BaMo3H
Method: DFT, PBE
State: relaxed

POSCAR file:
```
BaMo3H
1.0
5.004 0.000 0.000
0.000 5.004 0.000
0.000 0.000 5.004
Ba Mo H
1 3 1
direct
0.000 0.000 0.000
0.000 0.000 0.500
0.000 0.500 0.000
0.500 0.000 0.000
0.500 0.500 0.500
```

Output
The calculation puts the energy above the most stable polymorph in this dataset at 12.13 eV/f.u. The uncorrected energy is -18.878 eV/cell.

=====

Entry 7:
Material: BaMoH6
Method: DFT, PBE
State: relaxed

POSCAR file:
```
BaMoH6
1.0
2.812 1.624 3.282
-2.812 1.624 3.282
0.000 -3.247 3.282
Ba Mo H
1 1 6
direct
0.000 0.000 0.000
0.500 0.500 0.500
0.084 0.620 0.620
0.380 0.380 0.916
0.380 0.916 0.380
0.620 0.084 0.620
0.620 0.620 0.084
0.916 0.380 0.380
```

Output
The uncorrected energy is -31.562 eV/cell.

=====

Entry 8:
Material: BaMo2H8
Method: DFT, PBE
State: relaxed

POSCAR file:
```
BaMo2H8
1.0
2.262 -4.535 0.000
2.262 4.535 0.000
-0.121 0.000 5.371
Ba Mo H
1 2 8
direct
0.000 0.000 0.000
0.307 0.670 0.504
0.670 0.307 0.504
0.193 0.940 0.445
0.346 0.694 0.176
0.490 0.490 0.703
0.497 0.497 0.340
0.524 0.991 0.753
0.694 0.346 0.176
0.940 0.193 0.445
0.991 0.524 0.753
```

Output
The uncorrected energy is -51.612 eV/cell.

=====

Entry 9:
Material: BaMoH3
Method: DFT, PBE
State: relaxed

POSCAR file:
```
BaMoH3
1.0
4.503 0.000 0.000
0.000 4.503 0.000
0.000 0.000 4.503
Ba Mo H
1 1 3
direct
0.000 0.000 0.000
0.500 0.500 0.500
0.000 0.000 0.500
0.000 0.500 0.000
0.500 0.000 0.000
```

Output
The calculation puts the energy above the most stable polymorph in this dataset at 7.83 eV/f.u. The uncorrected energy is -14.742 eV/cell.

=====

Entry 10:
Material: BaMo2H
Method: DFT, PBE
State: relaxed

POSCAR file:
```
BaMo2H
1.0
-2.984 2.984 4.211
2.984 -2.984 4.211
2.984 2.984 -4.211
Ba Mo H
2 4 2
direct
0.375 0.625 0.750
0.625 0.375 0.250
0.000 0.000 0.000
0.000 0.000 0.500
0.000 0.500 0.000
0.500 0.000 0.500
0.125 0.875 0.250
0.875 0.125 0.750
```

Output
The calculation puts the energy above the most stable polymorph in this dataset at 0.00 eV/f.u. The uncorrected energy is -48.207 eV/cell.

=====

Entry 11:
Material: BaSb2MoH
Method: DFT, PBE
State: relaxed

POSCAR file:
```
BaSb2MoH
1.0
5.112 0.000 0.000
0.000 5.112 0.000
0.000 0.000 6.366
Ba Sb Mo H
1 2 1 1
direct
0.000 0.000 0.000
0.000 0.500 0.500
0.500 0.000 0.500
0.000 0.000 0.500
0.500 0.500 0.000
```

Output
The uncorrected energy is -22.513 eV/cell.

=====

Entry 12:
Material: Ba2TcMoH
Method: DFT, PBE
State: relaxed

POSCAR file:
```
Ba2TcMoH
1.0
5.743 0.000 0.000
0.000 5.743 0.000
0.000 0.000 3.793
Ba Tc Mo H
2 1 1 1
direct
0.000 0.500 0.000
0.500 0.000 0.000
0.000 0.000 0.500
0.500 0.500 0.500
0.500 0.500 0.000
```

Output
The uncorrected energy is -23.218 eV/cell.

=====

Entry 13:
Material: BaVMo2H
Method: DFT, PBE
State: relaxed

POSCAR file:
```
BaVMo2H
1.0
5.132 0.000 0.000
0.000 5.132 0.000
0.000 0.000 3.478
Ba V Mo H
1 1 2 1
direct
0.000 0.000 0.000
0.500 0.500 0.500
0.000 0.500 0.000
0.500 0.000 0.000
0.000 0.000 0.500
```

Output
The uncorrected energy is -23.951 eV/cell.

=====

Entry 14:
Material: BaH6N
Method: DFT, PBE
State: relaxed

POSCAR file:
```
BaH6N
1.0
2.550 1.472 3.669
-2.550 1.472 3.669
0.000 -2.944 3.669
Ba H N
1 6 1
direct
0.000 0.000 0.000
0.082 0.508 0.508
0.492 0.492 0.918
0.492 0.918 0.492
0.508 0.082 0.508
0.508 0.508 0.082
0.918 0.492 0.492
0.500 0.500 0.500
```

Output
The uncorrected energy is -28.348 eV/cell.

=====

Entry 15:
Material: Ba3H2N
Method: DFT, PBE
State: relaxed

POSCAR file:
```
Ba3H2N
1.0
3.539 -6.128 0.000
3.539 6.128 0.000
-2.411 0.000 6.799
Ba H N
6 4 2
direct
0.071 0.424 0.773
0.225 0.225 0.239
0.424 0.071 0.773
0.576 0.929 0.227
0.775 0.775 0.761
0.929 0.576 0.227
0.000 0.000 0.500
0.329 0.671 0.500
0.500 0.500 0.000
0.671 0.329 0.500
0.164 0.836 0.000
0.836 0.164 0.000
```

Output
The uncorrected energy is -46.242 eV/cell.

=====

Entry 16:
Material: BaH3N
Method: DFT, PBE
State: relaxed

POSCAR file:
```
BaH3N
1.0
2.160 1.247 6.189
-2.160 1.247 6.189
0.000 -2.495 6.189
Ba H N
1 3 1
direct
0.000 0.000 0.000
0.047 0.047 0.427
0.047 0.427 0.047
0.427 0.047 0.047
0.197 0.197 0.197
```

Output
The calculation puts the energy above the most stable polymorph in this dataset at 0.00 eV/f.u. The uncorrected energy is -21.163 eV/cell.

=====

Entry 17:
Material: BaH4N2
Method: DFT, PBE
State: relaxed

POSCAR file:
```
BaH4N2
1.0
6.363 0.000 0.000
0.000 6.363 0.000
0.000 0.000 5.026
Ba H N
2 8 4
direct
0.000 0.000 0.000
0.500 0.500 0.500
0.038 0.222 0.500
0.222 0.038 0.500
0.278 0.538 0.000
0.462 0.722 0.000
0.538 0.278 0.000
0.722 0.462 0.000
0.778 0.962 0.500
0.962 0.778 0.500
0.198 0.198 0.500
0.302 0.698 0.000
0.698 0.302 0.000
0.802 0.802 0.500
```

Output
The calculation puts the energy above the most stable polymorph in this dataset at 0.00 eV/f.u. The uncorrected energy is -70.678 eV/cell.

=====

Entry 18:
Material: Ba2HN2
Method: DFT, PBE
State: relaxed

POSCAR file:
```
Ba2HN2
1.0
7.123 -2.161 0.000
7.123 2.161 0.000
-1.655 0.000 6.998
Ba H N
4 2 4
direct
0.074 0.663 0.859
0.337 0.926 0.641
0.663 0.074 0.359
0.926 0.337 0.141
0.262 0.738 0.250
0.738 0.262 0.750
0.130 0.424 0.476
0.424 0.130 0.976
0.576 0.870 0.024
0.870 0.576 0.524
```

Output
The uncorrected energy is -52.893 eV/cell.

=====

Entry 19:
Material: BaH2N2
Method: DFT, PBE
State: relaxed

POSCAR file:
```
BaH2N2
1.0
6.633 0.000 0.000
0.000 6.633 0.000
0.000 0.000 3.817
Ba H N
2 4 4
direct
0.000 0.000 0.000
0.500 0.500 0.000
0.242 0.258 0.500
0.258 0.758 0.500
0.742 0.242 0.500
0.758 0.742 0.500
0.059 0.559 0.000
0.441 0.059 0.000
0.559 0.941 0.000
0.941 0.441 0.000
```

Output
The calculation puts the energy above the most stable polymorph in this dataset at 0.78 eV/f.u. The uncorrected energy is -50.688 eV/cell.

=====

Entry 20:
Material: Ba8H2N3
Method: DFT, PBE
State: relaxed

POSCAR file:
```
Ba8H2N3
1.0
7.609 -4.075 0.000
7.609 4.075 0.000
-2.444 0.000 6.632
Ba H N
8 2 3
direct
0.106 0.106 0.418
0.151 0.623 0.092
0.377 0.849 0.908
0.392 0.392 0.583
0.608 0.608 0.417
0.623 0.151 0.092
0.849 0.377 0.908
0.894 0.894 0.582
0.254 0.254 0.148
0.746 0.746 0.852
0.244 0.756 0.500
0.500 0.500 0.000
0.756 0.244 0.500
```

Output
The uncorrected energy is -50.935 eV/cell.